No. 1
VASP calculation (GGA-PBE) on a relaxed PmCuSn crystal.

## Properties
Calculated total energy ... -4.76 eV/atom
Distance to the lowest polymorph of the same formula ... 0.000 eV per atom

POSCAR file:
```
PmCuSn
1.0
-3.6214 -2.6093 1.3272
-4.3312 1.2776 -1.1371
-2.3935 -2.4415 -3.1615
Cu Pm Sn
1 1 1
Direct
0.0000 0.0000 0.0000
0.2500 0.2500 0.2500
0.7500 0.7500 0.7500
```

=====

No. 2
VASP calculation (GGA-PBE) on a relaxed PmCu2Sn2 crystal.

## Properties
Calculated total energy ... -4.44 eV/atom

POSCAR file:
```
PmCu2Sn2
1.0
4.4927 0.0000 0.0000
0.0000 4.4077 0.0000
-0.2118 0.0000 10.6189
Cu Pm Sn
4 2 4
Direct
0.1987 0.2500 0.5007
0.8013 0.7500 0.4993
0.7484 0.2500 0.8624
0.2516 0.7500 0.1376
0.7644 0.2500 0.2596
0.2356 0.7500 0.7404
0.7094 0.2500 0.6249
0.2523 0.2500 0.9982
0.2906 0.7500 0.3751
0.7477 0.7500 0.0018
```

=====

No. 3
VASP calculation (GGA-PBE) on a relaxed SrPmCu crystal.

## Properties
Calculated total energy ... -3.19 eV/atom
Distance to the lowest polymorph of the same formula ... 0.000 eV per atom

POSCAR file:
```
SrPmCu
1.0
0.0000 3.6079 3.6079
3.6079 0.0000 3.6079
3.6079 3.6079 0.0000
Pm Cu Sr
1 1 1
Direct
0.2500 0.2500 0.2500
0.0000 0.0000 0.0000
0.7500 0.7500 0.7500
```

=====

No. 4
VASP calculation (GGA-PBE) on a relaxed PmTaCu crystal.

## Properties
Calculated total energy ... -5.25 eV/atom

POSCAR file:
```
PmTaCu
1.0
-2.0709 1.8837 3.7320
-1.6508 4.3588 -0.2001
-4.6042 0.7520 -0.0185
Pm Ta Cu
1 1 1
Direct
0.2500 0.2500 0.2500
0.0000 0.0000 0.0000
0.5000 0.5000 0.5000
```

=====

No. 5
VASP calculation (GGA-PBE) on a relaxed PmCuTc crystal.

## Properties
Calculated total energy ... -5.09 eV/atom

POSCAR file:
```
PmCuTc
1.0
0.0000 3.2238 3.2238
3.2238 0.0000 3.2238
3.2238 3.2238 0.0000
Cu Pm Tc
1 1 1
Direct
0.5000 0.5000 0.5000
0.2500 0.2500 0.2500
0.0000 0.0000 0.0000
```

=====

No. 6
VASP calculation (GGA-PBE) on a relaxed PmCuTe crystal.

## Properties
Calculated total energy ... -4.31 eV/atom
Distance to the lowest polymorph of the same formula ... 0.061 eV per atom

POSCAR file:
```
PmCuTe
1.0
0.0000 3.5638 3.5638
3.5638 0.0000 3.5638
3.5638 3.5638 0.0000
Te Pm Cu
1 1 1
Direct
0.7500 0.7500 0.7500
0.0000 0.0000 0.0000
0.2500 0.2500 0.2500
```

=====

Which of these has the lowest calculated total energy? PmTaCu

=====

Copy entry 5 word for word.
VASP calculation (GGA-PBE) on a relaxed PmCuTc crystal.

## Properties
Calculated total energy ... -5.09 eV/atom

POSCAR file:
```
PmCuTc
1.0
0.0000 3.2238 3.2238
3.2238 0.0000 3.2238
3.2238 3.2238 0.0000
Cu Pm Tc
1 1 1
Direct
0.5000 0.5000 0.5000
0.2500 0.2500 0.2500
0.0000 0.0000 0.0000
```

=====

Repeat the first record exactly.
VASP calculation (GGA-PBE) on a relaxed PmCuSn crystal.

## Properties
Calculated total energy ... -4.76 eV/atom
Distance to the lowest polymorph of the same formula ... 0.000 eV per atom

POSCAR file:
```
PmCuSn
1.0
-3.6214 -2.6093 1.3272
-4.3312 1.2776 -1.1371
-2.3935 -2.4415 -3.1615
Cu Pm Sn
1 1 1
Direct
0.0000 0.0000 0.0000
0.2500 0.2500 0.2500
0.7500 0.7500 0.7500
```

=====

Among the records above, which one has the highest calculated total energy? SrPmCu